1.
Mn3NbB | PBE | optimized geometry

The total energy is -8.907 eV per atom. As for the mass density: 7.58 g cm⁻³. The value obtained for the spin magnetization is 2.810 Bohr magnetons per cell. The value obtained for the energy relative to the elements is -27 kJ/mol of formula units. The density of states at the Fermi level is 3.503 states/eV per cell.

a = 3.890 Å, b = 3.890 Å, c = 3.890 Å
α = 90.00°, β = 90.00°, γ = 90.00°
Space group Pm-3m (No. 221)
Symmetry-distinct sites (fractional):
Mn 0.000 0.000 0.500 (multiplicity 3)
Nb 0.500 0.500 0.500 (multiplicity 1)
B 0.000 0.000 0.000 (multiplicity 1)

2.
Zr2AsRu | PBE | optimized geometry

The total energy is -8.532 eV per atom. As for the mass density: 7.91 g cm⁻³. The value obtained for the spin magnetization is 0.000 Bohr magnetons per cell. The value obtained for the energy relative to the elements is -300 kJ/mol of formula units. The density of states at the Fermi level is 5.573 states/eV per cell.

a = 4.110 Å, b = 3.605 Å, c = 10.154 Å
α = 90.00°, β = 90.00°, γ = 90.00°
Space group Amm2 (No. 38)
Symmetry-distinct sites (fractional):
Zr 0.000 0.000 0.000 (multiplicity 2)
Zr 0.500 0.000 0.285 (multiplicity 2)
As 0.500 0.000 0.562 (multiplicity 2)
Ru 0.000 0.000 0.734 (multiplicity 2)